No. 1
GaRh2Au: optimized geometry, PBE-GGA.

Results
- E (eV per atom) = -5.4662
- magnetic moment (μB/cell) = 0.0
- mass density (g/cm3) = 12.88
- symmetry = P4/mmm

The structure in POSCAR format:
```
GaRh2Au
1.0
4.475 0.000 0.000
0.000 4.475 0.000
0.000 0.000 3.042
Ga Rh Au
1 2 1
Cartesian
0.000 0.000 0.000
0.000 2.237 1.521
2.237 0.000 1.521
2.237 2.237 0.000
```

No. 2
K3HfI: optimized geometry, PBE-GGA.

Results
- E (eV per atom) = -2.1997
- magnetic moment (μB/cell) = 4.0
- ΔE_f (raw) (eV/atom) = 0.760
- mass density (g/cm3) = 2.26
- symmetry = Pm-3m

The structure in POSCAR format:
```
K3HfI
1.0
6.774 0.000 0.000
0.000 6.774 0.000
0.000 0.000 6.774
K Hf I
3 1 1
Cartesian
0.000 0.000 3.387
0.000 3.387 0.000
3.387 0.000 0.000
0.000 0.000 0.000
3.387 3.387 3.387
```

No. 3
Cd2SiSbPt: optimized geometry, PBE-GGA.

Results
- E (eV per atom) = -3.0212
- magnetic moment (μB/cell) = 0.0
- ΔE_f (raw) (eV/atom) = 0.462
- mass density (g/cm3) = 6.90
- symmetry = P4/mmm

The structure in POSCAR format:
```
Cd2SiSbPt
1.0
5.189 0.000 0.000
0.000 5.189 0.000
0.000 0.000 5.091
Cd Si Sb Pt
2 1 1 1
Cartesian
0.000 2.595 0.000
2.595 0.000 0.000
0.000 0.000 2.545
2.595 2.595 2.545
2.595 2.595 0.000
```

No. 4
CsIn2Bi2Pb: optimized geometry, PBE-GGA.

Results
- E (eV per atom) = -3.1177
- magnetic moment (μB/cell) = 0.0
- mass density (g/cm3) = 7.19
- symmetry = P-3m1

The structure in POSCAR format:
```
CsIn2Bi2Pb
1.0
5.525 0.000 0.000
-2.763 4.785 0.000
0.000 0.000 8.629
Cs In Bi Pb
1 2 2 1
Cartesian
0.000 0.000 0.000
0.000 3.190 5.666
2.763 1.595 2.963
0.000 3.190 2.562
2.763 1.595 6.067
0.000 0.000 4.315
```